# PBE with a Hubbard U RbPaMo2O8, optimized geometry
data_RbPaMo2O8
_chemical_formula_sum 'Rb1 Pa1 Mo2 O8'
_symmetry_space_group_name_H-M 'P -3 m 1'
_symmetry_Int_Tables_number 164
_symmetry_space_group_name_Hall '-P 3 2"'
_cell_length_a 6.0833
_cell_length_b 6.0833
_cell_length_c 7.9839
_cell_angle_alpha 90.00
_cell_angle_beta 90.00
_cell_angle_gamma 120.00
loop_
_atom_site_label
_atom_site_type_symbol
_atom_site_fract_x
_atom_site_fract_y
_atom_site_fract_z
Rb1 Rb 0.0000 0.0000 0.0000
Pa1 Pa 0.0000 0.0000 0.5000
Mo1 Mo 0.3333 0.6667 0.2508
O1 O 0.1656 0.3312 0.3350
O2 O 0.3333 0.6667 0.0303
# Magnetic moment in μB/cell: 2.0
# E_tot in eV per atom: -7.49